Entry 1:
Here is a geometry-optimized HfTi4Nb structure from the Alexandria database. Energies are from PBE.

Geometry as CIF:
```
data_HfTi4Nb
_chemical_formula_sum 'Hf4 Ti16 Nb4'
_cell_length_a 4.7606
_cell_length_b 16.2379
_cell_length_c 5.7632
_cell_angle_alpha 90.00
_cell_angle_beta 90.00
_cell_angle_gamma 90.00
_space_group_name_H-M_alt 'C m c m'
_space_group_IT_number 63
_space_group_name_Hall '-C 2c 2'
loop_
_atom_site_label
_atom_site_fract_x
_atom_site_fract_y
_atom_site_fract_z
_atom_site_occupancy
Hf1 0.0000 0.1302 0.2500 1
Ti1 0.0000 0.0594 0.7500 1
Ti2 0.0000 0.3419 0.0286 1
Ti3 0.0000 0.5000 0.0000 1
Nb1 0.0000 0.2168 0.7500 1
```

***

Entry 2:
Here is a geometry-optimized HfTiNb structure from the Alexandria database. Energies are from PBE.

Geometry as CIF:
```
data_HfTiNb
_chemical_formula_sum 'Hf2 Ti2 Nb2'
_cell_length_a 3.4243
_cell_length_b 3.4243
_cell_length_c 9.8443
_cell_angle_alpha 90.00
_cell_angle_beta 90.00
_cell_angle_gamma 90.00
_space_group_name_H-M_alt 'I 4 m m'
_space_group_IT_number 107
_space_group_name_Hall 'I 4 -2'
loop_
_atom_site_label
_atom_site_fract_x
_atom_site_fract_y
_atom_site_fract_z
_atom_site_occupancy
Hf1 0.0000 0.0000 0.0000 1
Ti1 0.0000 0.0000 0.3111 1
Nb1 0.0000 0.0000 0.6786 1
```

***

Entry 3:
Here is a geometry-optimized HfTi3Nb structure from the Alexandria database. Energies are from PBE.

Geometry as CIF:
```
data_HfTi3Nb
_chemical_formula_sum 'Hf2 Ti6 Nb2'
_cell_length_a 2.9563
_cell_length_b 5.6415
_cell_length_c 11.5495
_cell_angle_alpha 82.22
_cell_angle_beta 85.54
_cell_angle_gamma 75.83
_space_group_name_H-M_alt 'P -1'
_space_group_IT_number 2
_space_group_name_Hall '-P 1'
loop_
_atom_site_label
_atom_site_fract_x
_atom_site_fract_y
_atom_site_fract_z
_atom_site_occupancy
Hf1 0.0639 0.0147 0.3066 1
Ti1 0.1801 0.1516 0.9125 1
Ti2 0.2377 0.4557 0.7048 1
Ti3 0.3563 0.2728 0.4897 1
Nb1 0.4000 0.3554 0.1025 1
```

***

Entry 4:
Here is a geometry-optimized HfTiNb2 structure from the Alexandria database. Energies are from PBE.

Geometry as CIF:
```
data_HfTiNb2
_chemical_formula_sum 'Hf4 Ti4 Nb8'
_cell_length_a 6.6867
_cell_length_b 6.6867
_cell_length_c 6.6867
_cell_angle_alpha 90.00
_cell_angle_beta 90.00
_cell_angle_gamma 90.00
_space_group_name_H-M_alt 'F m -3 m'
_space_group_IT_number 225
_space_group_name_Hall '-F 4 2 3'
loop_
_atom_site_label
_atom_site_fract_x
_atom_site_fract_y
_atom_site_fract_z
_atom_site_occupancy
Hf1 0.0000 0.0000 0.0000 1
Ti1 0.0000 0.0000 0.5000 1
Nb1 0.2500 0.2500 0.2500 1
```

***

Entry 5:
Here is a geometry-optimized Hf2TiNb structure from the Alexandria database. Energies are from PBE.

Geometry as CIF:
```
data_Hf2TiNb
_chemical_formula_sum 'Hf2 Ti1 Nb1'
_cell_length_a 4.3704
_cell_length_b 4.3704
_cell_length_c 4.2102
_cell_angle_alpha 90.00
_cell_angle_beta 90.00
_cell_angle_gamma 90.00
_space_group_name_H-M_alt 'P 4/m m m'
_space_group_IT_number 123
_space_group_name_Hall '-P 4 2'
loop_
_atom_site_label
_atom_site_fract_x
_atom_site_fract_y
_atom_site_fract_z
_atom_site_occupancy
Hf1 0.0000 0.5000 0.0000 1
Ti1 0.0000 0.0000 0.5000 1
Nb1 0.5000 0.5000 0.5000 1
```

***

Entry 6:
Here is a geometry-optimized HfTi2Nb2 structure from the Alexandria database. Energies are from PBE.

Geometry as CIF:
```
data_HfTi2Nb2
_chemical_formula_sum 'Hf2 Ti4 Nb4'
_cell_length_a 7.5403
_cell_length_b 7.5403
_cell_length_c 3.3492
_cell_angle_alpha 90.00
_cell_angle_beta 90.00
_cell_angle_gamma 90.00
_space_group_name_H-M_alt 'P 4/m b m'
_space_group_IT_number 127
_space_group_name_Hall '-P 4 2ab'
loop_
_atom_site_label
_atom_site_fract_x
_atom_site_fract_y
_atom_site_fract_z
_atom_site_occupancy
Hf1 0.0000 0.0000 0.0000 1
Ti1 0.1425 0.3575 0.5000 1
Nb1 0.1528 0.6528 0.0000 1
```

***

Entry 7:
Here is a geometry-optimized HfTiNb structure from the Alexandria database. Energies are from PBE.

Geometry as CIF:
```
data_HfTiNb
_chemical_formula_sum 'Hf2 Ti2 Nb2'
_cell_length_a 4.7308
_cell_length_b 4.7308
_cell_length_c 5.9547
_cell_angle_alpha 90.00
_cell_angle_beta 90.00
_cell_angle_gamma 120.00
_space_group_name_H-M_alt 'P -3 m 1'
_space_group_IT_number 164
_space_group_name_Hall '-P 3 2"'
loop_
_atom_site_label
_atom_site_fract_x
_atom_site_fract_y
_atom_site_fract_z
_atom_site_occupancy
Hf1 0.0000 0.0000 0.0000 1
Hf2 0.0000 0.0000 0.5000 1
Ti1 0.3333 0.6667 0.2736 1
Nb1 0.3333 0.6667 0.7820 1
```

***

Entry 8:
Here is a geometry-optimized HfTi2Nb2 structure from the Alexandria database. Energies are from PBE.

Geometry as CIF:
```
data_HfTi2Nb2
_chemical_formula_sum 'Hf2 Ti4 Nb4'
_cell_length_a 7.3964
_cell_length_b 7.3964
_cell_length_c 3.4581
_cell_angle_alpha 90.00
_cell_angle_beta 90.00
_cell_angle_gamma 90.00
_space_group_name_H-M_alt 'P 4/m b m'
_space_group_IT_number 127
_space_group_name_Hall '-P 4 2ab'
loop_
_atom_site_label
_atom_site_fract_x
_atom_site_fract_y
_atom_site_fract_z
_atom_site_occupancy
Hf1 0.0000 0.0000 0.0000 1
Ti1 0.1272 0.3728 0.0000 1
Nb1 0.1699 0.6699 0.5000 1
```

***

Number 1: energy -0.61785 Ry per atom, formation energy 0.19 eV/atom. Number 2: energy -0.67993 Ry per atom, formation energy 0.06 eV/atom. Number 3: energy -0.63878 Ry per atom, formation energy 0.05 eV/atom. Number 4: energy -0.69054 Ry per atom, formation energy 0.10 eV/atom. Number 5: energy -0.68697 Ry per atom, formation energy 0.12 eV/atom. Number 6: energy -0.65875 Ry per atom, formation energy 0.21 eV/atom. Number 7: energy -0.68111 Ry per atom, formation energy 0.04 eV/atom. Number 8: energy -0.66428 Ry per atom, formation energy 0.14 eV/atom.